Record 1
This record from the Alexandria database describes a relaxed structure of BiRuPb2O6. The functional is GGA-PBE.

V, Å³ per cell: 298
DOS at the Fermi energy, states/eV/f.u.: 2.0
ΔE_f (raw), eV per atom: -1.0320

a b c (Å): 5.7648 6.1367 10.2001
angles (deg): 90.00 124.25 90.00
Space group P2_1/c (No. 14)
One atom of each set of equivalent atoms:
Bi 0.0000 0.0000 0.0000 (multiplicity 2)
Ru 0.5000 0.0000 0.5000 (multiplicity 2)
Pb 0.2307 0.0418 0.7376 (multiplicity 4)
O 0.1780 0.1738 0.4684 (multiplicity 4)
O 0.2630 0.7338 0.4428 (multiplicity 4)
O 0.3632 0.0443 0.2726 (multiplicity 4)



Record 2
This record from the Alexandria database describes a relaxed structure of Bi2RuPbO6. The functional is GGA-PBE.

V, Å³ per cell: 478
DOS at the Fermi energy, states/eV/f.u.: 4.7
ΔE_f (raw), eV per atom: -1.0183

a b c (Å): 5.8266 5.8266 16.2406
angles (deg): 90.00 90.00 120.00
Space group R3 (No. 146, hexagonal axes)
One atom of each set of equivalent atoms:
Bi 0.0000 0.0000 0.0000 (multiplicity 3)
Bi 0.0000 0.0000 0.4757 (multiplicity 3)
Ru 0.0000 0.0000 0.6816 (multiplicity 3)
Pb 0.0000 0.0000 0.2157 (multiplicity 3)
O 0.0103 0.3061 0.7470 (multiplicity 9)
O 0.0117 0.7353 0.6026 (multiplicity 9)



Record 3
This record from the Alexandria database describes a relaxed structure of BiRuPbO6. The functional is GGA-PBE.

V, Å³ per cell: 255
DOS at the Fermi energy, states/eV/f.u.: 4.9
ΔE_f (raw), eV per atom: -0.9363

a b c (Å): 5.0020 5.0020 10.1930
angles (deg): 90.00 90.00 90.00
Space group P4_2nm (No. 102)
One atom of each set of equivalent atoms:
Bi 0.0000 0.0000 0.0000 (multiplicity 2)
Ru 0.0000 0.0000 0.6664 (multiplicity 2)
Pb 0.0000 0.0000 0.3345 (multiplicity 2)
O 0.1812 0.1812 0.5203 (multiplicity 4)
O 0.1824 0.1824 0.8163 (multiplicity 4)
O 0.2256 0.2256 0.1680 (multiplicity 4)



Record 4
This record from the Alexandria database describes a relaxed structure of BiPbS2O8. The functional is GGA-PBE.

V, Å³ per cell: 532
DOS at the Fermi energy, states/eV/f.u.: 2.7
ΔE_f (raw), eV per atom: -1.2160

a b c (Å): 4.9780 4.9780 24.7923
angles (deg): 90.00 90.00 120.00
Space group R-3 (No. 148, hexagonal axes)
One atom of each set of equivalent atoms:
Bi 0.0000 0.0000 0.0000 (multiplicity 3)
Pb 0.0000 0.0000 0.5000 (multiplicity 3)
S 0.0000 0.0000 0.2414 (multiplicity 6)
O 0.0000 0.0000 0.1810 (multiplicity 6)
O 0.0131 0.7215 0.2605 (multiplicity 18)



Record 5
This record from the Alexandria database describes a relaxed structure of BiSbPb2O8. The functional is GGA-PBE.

V, Å³ per cell: 352
DOS at the Fermi energy, states/eV/f.u.: 0.2
ΔE_f (raw), eV per atom: -1.0768

a b c (Å): 7.1061 7.1699 6.9000
angles (deg): 90.00 90.00 90.00
Space group Cmmm (No. 65)
One atom of each set of equivalent atoms:
Bi 0.0000 0.0000 0.0000 (multiplicity 2)
Sb 0.0000 0.0000 0.5000 (multiplicity 2)
Pb 0.0000 0.5000 0.2564 (multiplicity 4)
O 0.0000 0.2910 0.5000 (multiplicity 4)
O 0.0000 0.3157 0.0000 (multiplicity 4)
O 0.1868 0.0000 0.2803 (multiplicity 8)



Record 6
This record from the Alexandria database describes a relaxed structure of BiSbPb2O5. The functional is GGA-PBE.

V, Å³ per cell: 671
ΔE_f (raw), eV per atom: -1.0623

a b c (Å): 3.6051 17.7655 10.4795
angles (deg): 90.00 90.00 90.00
Space group Cmc2_1 (No. 36)
One atom of each set of equivalent atoms:
Bi 0.0000 0.2293 0.0000 (multiplicity 4)
Sb 0.0000 0.4500 0.4836 (multiplicity 4)
Pb 0.0000 0.1035 0.3060 (multiplicity 4)
Pb 0.0000 0.1234 0.6701 (multiplicity 4)
O 0.0000 0.0997 0.0743 (multiplicity 4)
O 0.0000 0.2593 0.6314 (multiplicity 4)
O 0.0000 0.3575 0.0243 (multiplicity 4)
O 0.0000 0.3580 0.3786 (multiplicity 4)
O 0.0000 0.4831 0.8106 (multiplicity 4)



Record 7
This record from the Alexandria database describes a relaxed structure of BiSbPb2O6. The functional is GGA-PBE.

V, Å³ per cell: 310
DOS at the Fermi energy, states/eV/f.u.: 0.0
ΔE_f (raw), eV per atom: -1.2515

a b c (Å): 5.8427 6.2123 10.3326
angles (deg): 90.00 124.16 90.00
Space group P2_1/c (No. 14)
One atom of each set of equivalent atoms:
Bi 0.0000 0.0000 0.0000 (multiplicity 2)
Sb 0.5000 0.0000 0.5000 (multiplicity 2)
Pb 0.2295 0.0425 0.7349 (multiplicity 4)
O 0.1826 0.1764 0.4737 (multiplicity 4)
O 0.2580 0.7360 0.4454 (multiplicity 4)
O 0.3543 0.0423 0.2703 (multiplicity 4)



Record 8
This record from the Alexandria database describes a relaxed structure of Sc4BiPbO. The functional is GGA-PBE.

V, Å³ per cell: 592
DOS at the Fermi energy, states/eV/f.u.: 8.2
ΔE_f (raw), eV per atom: -1.1765

a b c (Å): 6.1414 15.6888 6.1413
angles (deg): 90.00 90.00 90.00
Space group Cmcm (No. 63)
One atom of each set of equivalent atoms:
Sc 0.0000 0.0860 0.2500 (multiplicity 4)
Sc 0.0000 0.4123 0.2500 (multiplicity 4)
Sc 0.2500 0.2500 0.0000 (multiplicity 8)
Bi 0.0000 0.3950 0.7500 (multiplicity 4)
Pb 0.0000 0.1055 0.7500 (multiplicity 4)
O 0.0000 0.2499 0.2500 (multiplicity 4)